No. 1
This record from Alexandria via LeMat-Bulk describes a geometry-optimized Ce3GdCo structure. The functional is PBE-GGA.

Results
- formation energy (eV/atom) = 0.069
- SG = Pm-3m, No. 221
- DOS at the Fermi energy (states/eV per atom) = 3.080
- M_tot (μB per formula unit) = 10.04

abc: 5.249 5.249 5.249
angles: 90.00 90.00 90.00
Fractional coordinates of all 5 atoms:
1 Ce 0.000 0.500 0.000
2 Co 0.000 0.000 0.000
3 Ce 0.000 0.000 0.500
4 Ce 0.500 0.000 0.000
5 Gd 0.500 0.500 0.500

***

No. 2
This record from Alexandria via LeMat-Bulk describes a geometry-optimized CeGdCo structure. The functional is PBE-GGA.

Results
- formation energy (eV/atom) = -0.055
- energy relative to the lowest polymorph listed for this composition (eV per atom) = 0.000
- SG = I4mm, No. 107
- DOS at the Fermi energy (states/eV per atom) = 1.490
- M_tot (μB per formula unit) = 8.31

abc: 3.420 3.420 6.431
angles: 105.42 105.42 90.00
Fractional coordinates of all 3 atoms:
1 Gd 0.307 0.307 0.613
2 Ce 0.039 0.039 0.078
3 Co 0.654 0.654 0.309

***

No. 3
This record from Alexandria via LeMat-Bulk describes a geometry-optimized CeGdCoIr structure. The functional is PBE-GGA.

Results
- formation energy (eV/atom) = -0.402
- SG = F-43m, No. 216
- DOS at the Fermi energy (states/eV per atom) = 1.294
- M_tot (μB per formula unit) = 7.14

abc: 4.858 4.858 4.858
angles: 60.00 60.00 60.00
Fractional coordinates of all 4 atoms:
1 Co 0.750 0.750 0.750
2 Ir 0.250 0.250 0.250
3 Gd 0.500 0.500 0.500
4 Ce 0.000 0.000 0.000